Ba12Zn5In | PBE | relaxed

It has space group Immm (No. 71), with a = 11.2722 Å, b = 11.7611 Å, c = 11.9262 Å, α = 90.00°, β = 90.00° and γ = 90.00°. The distinct sites, in fractional coordinates, are Ba at (0.0000, 0.1829, 0.2468), Ba at (0.1976, 0.5000, 0.1667), Ba at (0.2328, 0.3267, 0.5000), Zn at (0.0000, 0.0000, 0.0000), Zn at (0.0000, 0.3450, 0.0000), Zn at (0.0000, 0.5000, 0.3912) and In at (0.0000, 0.0000, 0.5000).

The total DFT energy (no corrections) is -0.070 Ha/atom. The value obtained for the total moment is 0.001 μB per formula unit.